Below is a relaxed structure of TaP2N, with properties calculated at the GGA-PBE level.

SG: I-42d (122)

Cell: 5.319 5.319 5.319 Å, 118.14 118.14 93.26°
Positions (direct):
1 Ta 0.000 0.000 0.000
2 Ta 0.750 0.250 0.500
3 P 0.213 0.625 0.088
4 P 0.375 0.463 0.588
5 P 0.537 0.125 0.912
6 P 0.875 0.787 0.412
7 N 0.250 0.750 0.500
8 N 0.500 0.500 0.000

---

Below is a relaxed structure of TaPN2, with properties calculated at the GGA-PBE level.

SG: R-3m (166)

Cell: 6.361 6.361 6.361 Å, 27.60 27.60 27.60°
Positions (direct):
1 Ta 0.000 0.000 0.000
2 P 0.500 0.500 0.500
3 N 0.399 0.399 0.399
4 N 0.601 0.601 0.601

---

Below is a relaxed structure of TaP3N, with properties calculated at the GGA-PBE level.

Offset from the most stable computed form: 388 kJ/mol of formula units
SG: Pm-3m (221)

Cell: 4.818 4.818 4.818 Å, 90.00 90.00 90.00°
Positions (direct):
1 Ta 0.000 0.000 0.000
2 P 0.000 0.000 0.500
3 P 0.000 0.500 0.000
4 P 0.500 0.000 0.000
5 N 0.500 0.500 0.500

---

Below is a relaxed structure of TaTcP2N, with properties calculated at the GGA-PBE level.

SG: P4/mmm (123)

Cell: 4.681 4.681 4.833 Å, 90.00 90.00 90.00°
Positions (direct):
1 Ta 0.000 0.000 0.000
2 Tc 0.000 0.000 0.500
3 P 0.000 0.500 0.000
4 P 0.500 0.000 0.000
5 N 0.500 0.500 0.500

---

Below is a relaxed structure of TaTe2PN, with properties calculated at the GGA-PBE level.

Offset from the most stable computed form: 0 kJ/mol of formula units
SG: P4/mmm (123)

Cell: 5.492 5.492 3.887 Å, 90.00 90.00 90.00°
Positions (direct):
1 Ta 0.000 0.000 0.000
2 Te 0.000 0.500 0.000
3 Te 0.500 0.000 0.000
4 P 0.500 0.500 0.500
5 N 0.000 0.000 0.500

---

Below is a relaxed structure of TaTePN2, with properties calculated at the GGA-PBE level.

Offset from the most stable computed form: 467 kJ/mol of formula units
SG: P4/mmm (123)

Cell: 3.834 3.834 5.006 Å, 90.00 90.00 90.00°
Positions (direct):
1 Ta 0.000 0.000 0.000
2 Te 0.500 0.500 0.000
3 P 0.500 0.500 0.500
4 N 0.000 0.500 0.500
5 N 0.500 0.000 0.500

---

Below is a relaxed structure of TaTePN2, with properties calculated at the GGA-PBE level.

Offset from the most stable computed form: 0 kJ/mol of formula units
SG: P4/mmm (123)

Cell: 4.001 4.001 5.952 Å, 90.00 90.00 90.00°
Positions (direct):
1 Ta 0.000 0.000 0.000
2 Te 0.000 0.000 0.500
3 P 0.500 0.500 0.500
4 N 0.000 0.500 0.000
5 N 0.500 0.000 0.000

---

Below is a relaxed structure of TaTe2PN, with properties calculated at the GGA-PBE level.

Offset from the most stable computed form: 151 kJ/mol of formula units
SG: P4/mmm (123)

Cell: 5.422 5.422 3.280 Å, 90.00 90.00 90.00°
Positions (direct):
1 Ta 0.000 0.000 0.000
2 Te 0.000 0.500 0.500
3 Te 0.500 0.000 0.500
4 P 0.500 0.500 0.500
5 N 0.500 0.500 0.000

---

Below is a relaxed structure of TaZnP2N6, with properties calculated at the GGA-PBE level.

SG: C2/c (15)

Cell: 6.761 6.761 5.343 Å, 106.33 106.33 80.47°
Positions (direct):
1 Ta 0.116 0.884 0.750
2 Ta 0.884 0.116 0.250
3 Zn 0.280 0.720 0.250
4 Zn 0.720 0.280 0.750
5 P 0.209 0.365 0.793
6 P 0.365 0.209 0.293
7 P 0.635 0.791 0.707
8 P 0.791 0.635 0.207
9 N 0.034 0.199 0.663
10 N 0.134 0.607 0.795
11 N 0.199 0.034 0.163
12 N 0.301 0.388 0.121
13 N 0.388 0.301 0.621
14 N 0.393 0.866 0.705
15 N 0.607 0.134 0.295
16 N 0.612 0.699 0.379
17 N 0.699 0.612 0.879
18 N 0.801 0.966 0.837
19 N 0.866 0.393 0.205
20 N 0.966 0.801 0.337

---

Below is a relaxed structure of TbPN3, with properties calculated at the GGA-PBE level.

SG: Cmcm (63)

Cell: 5.934 5.934 6.967 Å, 90.00 90.00 151.34°
Positions (direct):
1 Tb 0.210 0.790 0.750
2 Tb 0.790 0.210 0.250
3 P 0.060 0.940 0.250
4 P 0.940 0.060 0.750
5 N 0.153 0.847 0.076
6 N 0.153 0.847 0.424
7 N 0.474 0.526 0.250
8 N 0.526 0.474 0.750
9 N 0.847 0.153 0.576
10 N 0.847 0.153 0.924

---

Below is a relaxed structure of Tb2PN, with properties calculated at the GGA-PBE level.

Offset from the most stable computed form: 0 kJ/mol of formula units
SG: R-3m (166)

Cell: 6.622 6.622 6.622 Å, 32.67 32.67 32.67°
Positions (direct):
1 Tb 0.240 0.240 0.240
2 Tb 0.760 0.760 0.760
3 P 0.000 0.000 0.000
4 N 0.500 0.500 0.500

---

Below is a relaxed structure of TbPN3, with properties calculated at the GGA-PBE level.

SG: P2_1/c (14)

Cell: 6.749 5.542 9.636 Å, 90.00 122.09 90.00°
Positions (direct):
1 Tb 0.240 0.147 0.338
2 Tb 0.240 0.353 0.838
3 Tb 0.760 0.647 0.162
4 Tb 0.760 0.853 0.662
5 P 0.136 0.665 0.044
6 P 0.136 0.835 0.544
7 P 0.864 0.165 0.456
8 P 0.864 0.335 0.956
9 N 0.029 0.582 0.572
10 N 0.029 0.918 0.072
11 N 0.076 0.042 0.644
12 N 0.076 0.458 0.144
13 N 0.375 0.658 0.053
14 N 0.375 0.842 0.553
15 N 0.625 0.158 0.447
16 N 0.625 0.342 0.947
17 N 0.924 0.542 0.856
18 N 0.924 0.958 0.356
19 N 0.971 0.082 0.928
20 N 0.971 0.418 0.428

---

no.,uncorrected formation energy (meV/atom),energy (eV per atom)
1,353.7,-7.396
2,-287.2,-8.766
3,1374.8,-5.907
4,2158.3,-6.114
5,477.1,-5.897
6,1500.4,-5.911
7,531.4,-6.880
8,789.4,-5.585
9,-380.7,-7.771
10,-424.3,-7.428
11,-1490.3,-7.239
12,-771.4,-7.775